Entry 1:
A geometry-optimized InTeSe structure. Source: Alexandria, functional PBE-GGA.

crystal system	cubic
E_tot	-2.987	eV per atom
calculated volume	31.03	Å³/atom
DOS at the Fermi energy	0.48	states/eV/atom
formation energy from raw total energies	135	meV per atom
offset from the most stable computed form	0.429	eV/atom

a b c (Å): 5.0871 5.0871 5.0871
angles (deg): 60.00 60.00 60.00
Last column: nearest neighbours and their distance in Å.
Element x y z (fractional)
In1 0.0000 0.0000 0.0000  4 Te 3.12
Te1 0.7500 0.7500 0.7500  4 Se 3.12, 4 In 3.12
Se1 0.5000 0.5000 0.5000  4 Te 3.12

Entry 2:
A geometry-optimized SiHg2SbO structure. Source: Alexandria, functional PBE-GGA.

crystal system	tetragonal
E_tot	-3.279	eV per atom
calculated volume	20.89	Å³/atom
DOS at the Fermi energy	0.62	states/eV/atom
formation energy from raw total energies	-257	meV per atom

a b c (Å): 5.5291 5.5291 3.4168
angles (deg): 90.00 90.00 90.00
Last column: nearest neighbours and their distance in Å.
Element x y z (fractional)
Si1 0.0000 0.0000 0.0000  2 O 1.71
Hg1 0.0000 0.5000 0.0000  2 Si 2.76
Hg2 0.5000 0.0000 0.0000  2 Si 2.76
Sb1 0.5000 0.5000 0.5000  8 Hg 3.25, 2 Sb 3.42
O1 0.0000 0.0000 0.5000  2 Si 1.71

Entry 3:
A geometry-optimized Ca2Pr2Dy structure. Source: Alexandria, functional PBE-GGA.

crystal system	tetragonal
E_tot	-3.266	eV per atom
calculated volume	38.18	Å³/atom
DOS at the Fermi energy	1.36	states/eV/atom
energy of formation	367.1	meV per atom
offset from the most stable computed form	0.338	eV/atom

a b c (Å): 9.4385 9.4385 9.4385
angles (deg): 151.51 151.51 40.72
Last column: nearest neighbours and their distance in Å.
Element x y z (fractional)
Ca1 0.2500 0.7500 0.5000  4 Ca 3.28
Ca2 0.7500 0.2500 0.5000  4 Ca 3.28
Pr1 0.0884 0.0884 0.0000  1 Pr 3.13
Pr2 0.9116 0.9116 0.0000  1 Pr 3.13
Dy1 0.5000 0.5000 0.0000  8 Pr 3.64

Entry 4:
A geometry-optimized Na2TbTlS4 structure. Source: Alexandria, functional PBE-GGA.

crystal system	monoclinic
E_tot	-4.426	eV per atom
calculated volume	23.14	Å³/atom
formation energy from raw total energies	-1158	meV per atom

a b c (Å): 6.9187 3.9595 7.1668
angles (deg): 90.00 109.48 90.00
Last column: nearest neighbours and their distance in Å.
Element x y z (fractional)
Na1 0.0000 0.0000 0.0000  6 S 2.89-2.95
Na2 0.5000 0.5000 0.0000  6 S 2.93-2.95
Tb1 0.0000 0.5000 0.5000  6 S 2.75-2.81
Tl1 0.5000 0.0000 0.5000  6 S 2.73-2.87
S1 0.2353 0.0000 0.7346  2 Tb 2.75, 1 Tl 2.87, 3 Na 2.89-2.93
S2 0.2633 0.5000 0.2751  2 Tl 2.73, 1 Tb 2.81, 3 Na 2.95
S3 0.7367 0.5000 0.7249  2 Tl 2.73, 1 Tb 2.81, 3 Na 2.95
S4 0.7647 0.0000 0.2653  2 Tb 2.75, 1 Tl 2.87, 3 Na 2.89-2.93

Entry 5:
A geometry-optimized Li2Pu2Cu15 structure. Source: Alexandria, functional PBE-GGA.

crystal system	trigonal
E_tot	-4.977	eV per atom
calculated volume	14.19	Å³/atom
DOS at the Fermi energy	1.93	states/eV/atom
energy of formation	-33.5	meV per atom

a b c (Å): 6.5067 6.5067 6.5067
angles (deg): 82.90 82.90 82.90
Last column: nearest neighbours and their distance in Å.
Element x y z (fractional)
Li1 0.0940 0.0940 0.0940  1 Li 2.37, 3 Cu 2.65
Li2 0.9060 0.9060 0.9060  1 Li 2.37, 3 Cu 2.65
Pu1 0.3493 0.3493 0.3493  15 Cu 3.02-3.30, 1 Li 3.21
Pu2 0.6507 0.6507 0.6507  15 Cu 3.02-3.30, 1 Li 3.21
Cu1 0.0000 0.0000 0.5000  8 Cu 2.48-2.49, 2 Li 2.65
Cu2 0.0000 0.3021 0.6979  8 Cu 2.48-2.61
Cu3 0.0000 0.5000 0.0000  8 Cu 2.48-2.49, 2 Li 2.65
Cu4 0.0000 0.6979 0.3021  8 Cu 2.48-2.61
Cu5 0.1560 0.6569 0.6569  8 Cu 2.49-2.61, 1 Li 2.69
Cu6 0.3021 0.0000 0.6979  8 Cu 2.48-2.61
Cu7 0.3021 0.6979 0.0000  8 Cu 2.48-2.61
Cu8 0.3431 0.3431 0.8440  8 Cu 2.49-2.61, 1 Li 2.69
Cu9 0.3431 0.8440 0.3431  8 Cu 2.49-2.61, 1 Li 2.69
Cu10 0.5000 0.0000 0.0000  8 Cu 2.48-2.49, 2 Li 2.65
Cu11 0.6569 0.1560 0.6569  8 Cu 2.49-2.61, 1 Li 2.69
Cu12 0.6569 0.6569 0.1560  8 Cu 2.49-2.61, 1 Li 2.69
Cu13 0.6979 0.0000 0.3021  8 Cu 2.48-2.61
Cu14 0.6979 0.3021 0.0000  8 Cu 2.48-2.61
Cu15 0.8440 0.3431 0.3431  8 Cu 2.49-2.61, 1 Li 2.69

Entry 6:
A geometry-optimized Cs4PtI8 structure. Source: Alexandria, functional PBE-GGA.

crystal system	orthorhombic
E_tot	-2.602	eV per atom
calculated volume	56.61	Å³/atom
DOS at the Fermi energy	0.11	states/eV/atom
formation energy from raw total energies	-920	meV per atom

a b c (Å): 11.7149 10.5407 9.2568
angles (deg): 72.23 58.96 48.81
Last column: nearest neighbours and their distance in Å.
Element x y z (fractional)
Cs1 0.0000 0.0000 0.5000  8 I 3.85-4.11
Cs2 0.0000 0.5000 0.0000  8 I 3.90-4.17
Cs3 0.5000 0.0000 0.5000  8 I 3.90-4.17
Cs4 0.5000 0.5000 0.0000  8 I 3.85-4.11
Pt1 0.0000 0.0000 0.0000  4 I 2.65
I1 0.0147 0.7715 0.2285  1 Pt 2.65
I2 0.2285 0.9853 0.0147  1 Pt 2.65
I3 0.2618 0.4854 0.5146  1 I 3.34
I4 0.4854 0.2618 0.7382  1 I 3.34
I5 0.5146 0.7382 0.2618  1 I 3.34
I6 0.7382 0.5146 0.4854  1 I 3.34
I7 0.7715 0.0147 0.9853  1 Pt 2.65
I8 0.9853 0.2285 0.7715  1 Pt 2.65

Entry 7:
A geometry-optimized Al6I structure. Source: Alexandria, functional PBE-GGA.

crystal system	cubic
E_tot	-2.786	eV per atom
calculated volume	29.34	Å³/atom
DOS at the Fermi energy	1.09	states/eV/atom
formation energy from raw total energies	643	meV per atom

a b c (Å): 6.4379 6.4379 6.4379
angles (deg): 109.47 109.47 109.47
Last column: nearest neighbours and their distance in Å.
Element x y z (fractional)
Al1 0.2500 0.5000 0.7500  4 Al 2.63
Al2 0.2500 0.7500 0.5000  4 Al 2.63
Al3 0.5000 0.2500 0.7500  4 Al 2.63
Al4 0.5000 0.7500 0.2500  4 Al 2.63
Al5 0.7500 0.2500 0.5000  4 Al 2.63
Al6 0.7500 0.5000 0.2500  4 Al 2.63
I1 0.0000 0.0000 0.0000  24 Al 4.16

Entry 8:
A geometry-optimized SrIrRh2 structure. Source: Alexandria, functional PBE-GGA.

crystal system	tetragonal
E_tot	-5.966	eV per atom
calculated volume	17.77	Å³/atom
DOS at the Fermi energy	1.07	states/eV/atom
energy of formation	345.9	meV per atom
offset from the most stable computed form	0.481	eV/atom

a b c (Å): 4.9663 4.9663 4.9663
angles (deg): 129.52 129.52 74.18
Last column: nearest neighbours and their distance in Å.
Element x y z (fractional)
Sr1 0.0000 0.0000 0.0000  8 Rh 2.90, 4 Ir 2.99
Ir1 0.5000 0.5000 0.0000  8 Rh 2.90, 4 Sr 2.99
Rh1 0.2500 0.7500 0.5000  4 Ir 2.90, 4 Sr 2.90, 4 Rh 2.99
Rh2 0.7500 0.2500 0.5000  4 Ir 2.90, 4 Sr 2.90, 4 Rh 2.99